1.
VASP calculation (GGA-PBE) on crystalline CePrGeBr at its relaxed geometry.

Lattice parameters (Å, degrees): 5.990 5.340 5.340 51.09 90.00 90.00
Sites, in units of the cell vectors:
Ce1 0.000 0.000 0.000
Pr1 0.500 0.308 0.308
Ge1 0.000 0.308 0.308
Br1 0.500 0.004 0.004

Calculated values
Fermi-level density of states = 2.039 states/eV per atom
energy = -20.05 eV for the cell shown
ΔE_f (raw) = -0.761 eV per atom

---

2.
VASP calculation (GGA-PBE) on crystalline ZnAgTe at its relaxed geometry.

Lattice parameters (Å, degrees): 4.685 4.685 4.685 60.00 60.00 60.00
Sites, in units of the cell vectors:
Zn1 0.000 0.000 0.000
Ag1 0.750 0.750 0.750
Te1 0.500 0.500 0.500

Calculated values
offset from the most stable computed form = 29 kJ/mol of formula units
Fermi-level density of states = 0.412 states/eV per atom
energy = -7.13 eV for the cell shown
ΔE_f (raw) = 0.045 eV per atom

---

3.
VASP calculation (GGA-PBE) on crystalline Fe2AgPt at its relaxed geometry.

Lattice parameters (Å, degrees): 4.729 4.729 2.744 90.00 90.00 109.50
Sites, in units of the cell vectors:
Fe1 0.000 0.500 0.000
Fe2 0.500 0.000 0.000
Ag1 0.000 0.000 0.500
Pt1 0.500 0.500 0.500

Calculated values
Fermi-level density of states = 0.741 states/eV per atom
energy = -25.48 eV for the cell shown
formation energy from the elements = 85 meV/atom

---

4.
VASP calculation (GGA-PBE) on crystalline Sc4AlZn at its relaxed geometry.

Lattice parameters (Å, degrees): 3.321 5.154 7.908 90.00 90.00 90.00
Sites, in units of the cell vectors:
Sc1 0.000 0.000 0.198
Sc2 0.000 0.000 0.802
Sc3 0.500 0.500 0.295
Sc4 0.500 0.500 0.705
Al1 0.500 0.000 0.500
Zn1 0.000 0.500 0.000

Calculated values
offset from the most stable computed form = 0 kJ/mol of formula units
Fermi-level density of states = 0.806 states/eV per atom
energy = -30.60 eV for the cell shown
formation energy from the elements = -43 meV/atom

---

5.
VASP calculation (GGA-PBE) on crystalline Sc5Mo3 at its relaxed geometry.

Lattice parameters (Å, degrees): 8.100 8.100 8.094 96.47 96.47 140.55
Sites, in units of the cell vectors:
Sc1 0.078 0.719 0.798
Sc2 0.218 0.420 0.641
Sc3 0.248 0.248 0.998
Sc4 0.281 0.922 0.202
Sc5 0.420 0.218 0.641
Sc6 0.580 0.782 0.359
Sc7 0.719 0.078 0.798
Sc8 0.752 0.752 0.002
Sc9 0.782 0.580 0.359
Sc10 0.922 0.281 0.202
Mo1 0.169 0.169 0.334
Mo2 0.251 0.749 0.500
Mo3 0.333 0.667 0.000
Mo4 0.667 0.333 0.000
Mo5 0.749 0.251 0.500
Mo6 0.831 0.831 0.666

Calculated values
offset from the most stable computed form = 4 kJ/mol of formula units
Fermi-level density of states = 1.368 states/eV per atom
energy = -124.34 eV for the cell shown
formation energy from the elements = 248 meV/atom

---

6.
VASP calculation (GGA-PBE) on crystalline BaNa2SrZn at its relaxed geometry.

Lattice parameters (Å, degrees): 5.962 5.962 6.171 90.00 90.00 90.00
Sites, in units of the cell vectors:
Ba1 0.000 0.000 0.000
Na1 0.000 0.500 0.500
Na2 0.500 0.000 0.500
Sr1 0.500 0.500 0.000
Zn1 0.500 0.500 0.500

Calculated values
offset from the most stable computed form = 0 kJ/mol of formula units
Fermi-level density of states = 0.807 states/eV per atom
energy = -7.06 eV for the cell shown
formation energy from the elements = 90 meV/atom

---

7.
VASP calculation (GGA-PBE) on crystalline Pm12AlRh6 at its relaxed geometry.

Lattice parameters (Å, degrees): 8.744 8.744 8.744 109.47 109.47 109.47
Sites, in units of the cell vectors:
Pm1 0.116 0.302 0.814
Pm2 0.186 0.487 0.302
Pm3 0.186 0.884 0.698
Pm4 0.302 0.186 0.487
Pm5 0.302 0.814 0.116
Pm6 0.487 0.302 0.186
Pm7 0.513 0.698 0.814
Pm8 0.698 0.186 0.884
Pm9 0.698 0.814 0.513
Pm10 0.814 0.116 0.302
Pm11 0.814 0.513 0.698
Pm12 0.884 0.698 0.186
Al1 0.000 0.000 0.000
Rh1 0.131 0.500 0.631
Rh2 0.369 0.869 0.500
Rh3 0.500 0.369 0.869
Rh4 0.500 0.631 0.131
Rh5 0.631 0.131 0.500
Rh6 0.869 0.500 0.369

Calculated values
offset from the most stable computed form = 0 kJ/mol of formula units
Fermi-level density of states = 0.980 states/eV per atom
energy = -114.32 eV for the cell shown
formation energy from the elements = -498 meV/atom

---

8.
VASP calculation (GGA-PBE) on crystalline NdEr3Tl4Te8 at its relaxed geometry.

Lattice parameters (Å, degrees): 9.672 9.672 9.672 54.94 54.94 54.94
Sites, in units of the cell vectors:
Nd1 0.000 0.000 0.000
Er1 0.000 0.500 0.500
Er2 0.500 0.000 0.500
Er3 0.500 0.500 0.000
Tl1 0.000 0.000 0.500
Tl2 0.000 0.500 0.000
Tl3 0.500 0.000 0.000
Tl4 0.500 0.500 0.500
Te1 0.242 0.242 0.730
Te2 0.242 0.730 0.242
Te3 0.263 0.263 0.263
Te4 0.270 0.758 0.758
Te5 0.730 0.242 0.242
Te6 0.737 0.737 0.737
Te7 0.758 0.270 0.758
Te8 0.758 0.758 0.270

Calculated values
energy = -69.77 eV for the cell shown
ΔE_f (raw) = -1.045 eV per atom

---

> Which formula does entry 3 have?

Fe2AgPt